# 1
{"formula": "BaSn2BOs", "functional": "GGA-PBE", "state": "optimized geometry", "delta_e_f_ev_per_atom": 0.27, "m_tot_mub_per_atom": 0.0000, "sg": "P4/mmm (123)", "cell": [[5.3596, 0.0000, 0.0000], [0.0000, 5.3596, 0.0000], [0.0000, 0.0000, 4.2515]], "species": ["Ba", "Sn", "Sn", "B", "Os"], "frac_coords": [[0.0000, 0.0000, 0.0000], [0.0000, 0.5000, 0.5000], [0.5000, 0.0000, 0.5000], [0.5000, 0.5000, 0.0000], [0.5000, 0.5000, 0.5000]]}

# 2
{"formula": "BaBP3", "functional": "GGA-PBE", "state": "optimized geometry", "delta_e_f_ev_per_atom": 2.37, "m_tot_mub_per_atom": 0.2750, "sg": "Pm-3m (221)", "cell": [[5.7169, 0.0000, 0.0000], [0.0000, 5.7169, 0.0000], [0.0000, 0.0000, 5.7169]], "species": ["Ba", "B", "P", "P", "P"], "frac_coords": [[0.0000, 0.0000, 0.0000], [0.5000, 0.5000, 0.5000], [0.0000, 0.0000, 0.5000], [0.0000, 0.5000, 0.0000], [0.5000, 0.0000, 0.0000]]}

# 3
{"formula": "BaB2P", "functional": "GGA-PBE", "state": "optimized geometry", "delta_e_f_ev_per_atom": 0.34, "m_tot_mub_per_atom": 0.0000, "sg": "I4_1/amd (141)", "cell": [[-2.3663, 2.3663, 6.1038], [2.3663, -2.3663, 6.1038], [2.3663, 2.3663, -6.1038]], "species": ["Ba", "Ba", "B", "B", "B", "B", "P", "P"], "frac_coords": [[0.3750, 0.6250, 0.7500], [0.6250, 0.3750, 0.2500], [0.0000, 0.0000, 0.0000], [0.0000, 0.0000, 0.5000], [0.0000, 0.5000, 0.0000], [0.5000, 0.0000, 0.5000], [0.1250, 0.8750, 0.2500], [0.8750, 0.1250, 0.7500]]}

# 4
{"formula": "Ba3BP", "functional": "GGA-PBE", "state": "optimized geometry", "delta_e_f_ev_per_atom": 0.15, "m_tot_mub_per_atom": 0.0000, "sg": "Pm-3m (221)", "cell": [[5.6583, 0.0000, 0.0000], [0.0000, 5.6583, 0.0000], [0.0000, 0.0000, 5.6583]], "species": ["Ba", "Ba", "Ba", "B", "P"], "frac_coords": [[0.0000, 0.0000, 0.5000], [0.0000, 0.5000, 0.0000], [0.5000, 0.0000, 0.0000], [0.0000, 0.0000, 0.0000], [0.5000, 0.5000, 0.5000]]}

# 5
{"formula": "BaBP3", "functional": "GGA-PBE", "state": "optimized geometry", "delta_e_f_ev_per_atom": 0.37, "m_tot_mub_per_atom": 0.0000, "sg": "Pm-3m (221)", "cell": [[4.5390, 0.0000, 0.0000], [0.0000, 4.5390, 0.0000], [0.0000, 0.0000, 4.5390]], "species": ["Ba", "B", "P", "P", "P"], "frac_coords": [[0.0000, 0.0000, 0.0000], [0.5000, 0.5000, 0.5000], [0.0000, 0.5000, 0.5000], [0.5000, 0.0000, 0.5000], [0.5000, 0.5000, 0.0000]]}

# 6
{"formula": "BaBP2", "functional": "GGA-PBE", "state": "optimized geometry", "delta_e_f_ev_per_atom": -0.30, "m_tot_mub_per_atom": 0.0000, "sg": "I-42d (122)", "cell": [[-3.3625, 3.3625, 3.6177], [3.3625, -3.3625, 3.6177], [3.3625, 3.3625, -3.6177]], "species": ["Ba", "Ba", "B", "B", "P", "P", "P", "P"], "frac_coords": [[0.0000, 0.0000, 0.0000], [0.7500, 0.2500, 0.5000], [0.2500, 0.7500, 0.5000], [0.5000, 0.5000, 0.0000], [0.2593, 0.6250, 0.1343], [0.3750, 0.5093, 0.6343], [0.4907, 0.1250, 0.8657], [0.8750, 0.7407, 0.3657]]}

# 7
{"formula": "BaB2P2", "functional": "GGA-PBE", "state": "optimized geometry", "delta_e_f_ev_per_atom": -0.18, "m_tot_mub_per_atom": 0.0000, "sg": "C2/c (15)", "cell": [[5.7630, -2.8003, 0.0000], [5.7630, 2.8003, 0.0000], [-3.4678, 0.0000, 5.5925]], "species": ["Ba", "Ba", "B", "B", "B", "B", "P", "P", "P", "P"], "frac_coords": [[0.1200, 0.8800, 0.7500], [0.8800, 0.1200, 0.2500], [0.2032, 0.4149, 0.9111], [0.4149, 0.2032, 0.4111], [0.5851, 0.7968, 0.5889], [0.7968, 0.5851, 0.0889], [0.1875, 0.4464, 0.2098], [0.4464, 0.1875, 0.7098], [0.5536, 0.8125, 0.2902], [0.8125, 0.5536, 0.7902]]}

# 8
{"formula": "Ba2BPPb", "functional": "GGA-PBE", "state": "optimized geometry", "delta_e_f_ev_per_atom": -0.13, "m_tot_mub_per_atom": 0.0000, "sg": "P4/mmm (123)", "cell": [[6.3198, 0.0000, 0.0000], [0.0000, 6.3198, 0.0000], [0.0000, 0.0000, 3.6913]], "species": ["Ba", "Ba", "B", "P", "Pb"], "frac_coords": [[0.0000, 0.5000, 0.0000], [0.5000, 0.0000, 0.0000], [0.0000, 0.0000, 0.0000], [0.0000, 0.0000, 0.5000], [0.5000, 0.5000, 0.5000]]}

Repeat the second record exactly.
{"formula": "BaBP3", "functional": "GGA-PBE", "state": "optimized geometry", "delta_e_f_ev_per_atom": 2.37, "m_tot_mub_per_atom": 0.2750, "sg": "Pm-3m (221)", "cell": [[5.7169, 0.0000, 0.0000], [0.0000, 5.7169, 0.0000], [0.0000, 0.0000, 5.7169]], "species": ["Ba", "B", "P", "P", "P"], "frac_coords": [[0.0000, 0.0000, 0.0000], [0.5000, 0.5000, 0.5000], [0.0000, 0.0000, 0.5000], [0.0000, 0.5000, 0.0000], [0.5000, 0.0000, 0.0000]]}